## Li3MgCd4 (PBE)

Data for Li3MgCd4 after structural relaxation.

Results
Relative energy among the computed polymorphs   0.000 eV per atom
Space-group type   P4/mmm (123)
Total energy   -0.0593 hartree per atom
DFT formation energy   -0.2395 eV per atom
Magnetization   0.00 μB/f.u.

```
Li3MgCd4
1.0
-3.230 -0.870 -0.119
-0.109 -0.054 3.345
-3.541 13.129 0.095
Li Cd Mg
3 4 1
Direct
0.500 0.500 0.500 Li
0.500 0.500 0.739 Li
0.500 0.500 0.261 Li
0.000 0.000 0.620 Cd
0.000 0.000 0.857 Cd
0.000 0.000 0.143 Cd
0.000 0.000 0.380 Cd
0.500 0.500 0.000 Mg
```